(1)
SmY3Tm2P6, relaxed, DFT PBE-GGA; space group = C2/m (12)
1.0
6.9428 -0.0006 0.0009
-3.4702 6.0134 0.0009
-1.1578 -2.0046 6.5468
P Y Sm Tm
6 3 1 2
direct
0.4217 0.0831 0.2491
0.5783 0.9169 0.7509
0.0831 0.4217 0.2491
0.7442 0.7442 0.2485
0.2558 0.2558 0.7515
0.9169 0.5783 0.7509
0.1656 0.8344 0.5000
0.5000 0.5000 0.5000
0.8344 0.1656 0.5000
0.0000 0.0000 0.0000
0.6670 0.3330 0.0000
0.3330 0.6670 0.0000


(2)
SmY2TmP4, relaxed, DFT PBE-GGA; space group = P2/m (10)
1.0
-0.2653 -2.1708 3.3777
0.1885 -5.8639 -3.7538
6.4887 1.8705 1.7118
Sm P Y Tm
1 4 2 1
direct
0.5000 0.5000 0.0000
0.5000 0.2452 0.2489
0.0000 0.7551 0.2523
0.0000 0.2449 0.7477
0.5000 0.7548 0.7511
0.5000 0.0000 0.5000
0.0000 0.5000 0.5000
0.0000 0.0000 0.0000


(3)
Sm2UP3, relaxed, DFT PBE-GGA; excess energy over the best structure of this formula in the dataset = 0.000 eV per atom; space group = Immm (71)
1.0
-3.7600 -3.2842 -2.7742
6.0566 -4.1860 -3.2532
0.2422 -1.1606 6.9248
P U Sm
6 2 4
direct
0.4999 0.7500 0.0000
0.5001 0.2500 0.0000
0.8424 0.9212 0.6848
0.1576 0.0788 0.3152
0.1576 0.5788 0.3152
0.8424 0.4212 0.6848
0.0000 0.7500 0.0000
0.0000 0.2500 0.0000
0.6680 0.0840 0.3360
0.3320 0.4160 0.6640
0.6680 0.5840 0.3360
0.3320 0.9160 0.6640


(4)
SmU2P4, relaxed, DFT PBE-GGA; space group = Cmcm (63)
1.0
3.9774 0.0000 0.0000
-1.9887 6.5693 0.0000
0.0000 0.0000 12.4412
Sm P U
2 8 4
direct
0.6124 0.2248 0.7500
0.3876 0.7752 0.2500
0.2379 0.4758 0.8760
0.5000 0.0000 0.5000
0.9589 0.9178 0.7500
0.0411 0.0822 0.2500
0.7621 0.5242 0.3760
0.5000 0.0000 0.0000
0.2379 0.4758 0.6240
0.7621 0.5242 0.1240
0.1320 0.2640 0.4372
0.8680 0.7360 0.5628
0.8680 0.7360 0.9372
0.1320 0.2640 0.0628


(5)
Sm2UP3, relaxed, DFT PBE-GGA; excess energy over the best structure of this formula in the dataset = 0.006 eV per atom; space group = I4/mmm (139)
1.0
-2.0250 2.0250 8.5636
2.0250 -2.0250 8.5636
2.0250 2.0250 -8.5636
P Sm U
3 2 1
direct
0.1621 0.1621 0.0000
0.8379 0.8379 0.0000
0.5000 0.5000 0.0000
0.6677 0.6677 0.0000
0.3323 0.3323 0.0000
0.0000 0.0000 0.0000


(6)
Sm4UP5, relaxed, DFT PBE-GGA; space group = I4/m (87)
1.0
-0.8803 1.7585 -5.4033
-6.5291 -1.1422 -2.3675
-2.2375 6.6522 -0.5300
P U Sm
5 1 4
direct
0.0965 0.6155 0.1935
0.9055 0.3845 0.8065
0.5013 0.0000 0.0000
0.7120 0.1935 0.3845
0.2900 0.8065 0.6155
0.0012 0.0000 0.0000
0.5985 0.6018 0.2031
0.4034 0.3982 0.7969
0.2004 0.2031 0.3982
0.8016 0.7969 0.6018


(7)
SmUP2, relaxed, DFT PBE-GGA; excess energy over the best structure of this formula in the dataset = 0.436 eV per atom; space group = Pmmn (59)
1.0
3.8161 0.0000 0.0000
0.0000 5.1835 0.0000
0.0000 0.0000 9.8992
P Sm U
4 2 2
direct
0.0000 0.5000 0.5863
0.5000 0.0000 0.8350
0.5000 0.0000 0.4137
0.0000 0.5000 0.1650
0.0000 0.5000 0.8759
0.5000 0.0000 0.1241
0.5000 0.5000 0.3843
0.0000 0.0000 0.6157


(8)
SmU2P3, relaxed, DFT PBE-GGA; space group = Pnma (62)
1.0
-3.2872 2.4707 -3.8588
-3.6702 -6.9368 -1.3165
-8.0258 2.6293 8.5204
U Sm P
8 4 12
direct
0.7497 0.6248 0.2529
0.7497 0.1248 0.2471
0.2498 0.3777 0.0842
0.2498 0.8777 0.4158
0.7502 0.1223 0.5842
0.2503 0.3752 0.7471
0.2503 0.8752 0.7529
0.7502 0.6223 0.9158
0.7502 0.1250 0.9195
0.2498 0.3750 0.4195
0.7502 0.6250 0.5805
0.2498 0.8750 0.0805
0.7499 0.3665 0.4130
0.7503 0.8739 0.7517
0.7499 0.8665 0.0870
0.2497 0.6261 0.2517
0.7498 0.8809 0.4131
0.2502 0.6191 0.9131
0.2502 0.1191 0.5869
0.7498 0.3809 0.0869
0.2501 0.1335 0.9130
0.7503 0.3739 0.7483
0.2501 0.6335 0.5870
0.2497 0.1261 0.2483


(9)
Sm3UP4, relaxed, DFT PBE-GGA; space group = Cmmm (65)
1.0
4.0458 0.0000 0.0000
0.0000 7.0290 -0.0500
0.0000 -2.2636 6.6547
Sm P U
3 4 1
direct
0.5000 0.5000 0.5000
0.0000 0.5000 0.0000
0.0000 0.0000 0.5000
0.0000 0.7602 0.7602
0.5000 0.7574 0.2426
0.0000 0.2398 0.2398
0.5000 0.2426 0.7574
0.5000 0.0000 0.0000


(10)
SmUP2, relaxed, DFT PBE-GGA; excess energy over the best structure of this formula in the dataset = 0.000 eV per atom; space group = R-3m (166)
1.0
-3.6672 -0.2145 -1.5591
-0.4716 -0.4122 -3.9412
-1.2817 -6.8323 -1.1523
Sm P U
1 2 1
direct
0.5000 0.5000 0.5000
0.7457 0.7457 0.7628
0.2543 0.2543 0.2372
0.0000 0.0000 0.0000


(11)
SmUP2, relaxed, DFT PBE-GGA; excess energy over the best structure of this formula in the dataset = 0.172 eV per atom; space group = R3m (160)
1.0
-3.6728 1.3932 0.3499
-2.5868 -0.5008 -2.9344
-4.1023 -5.7205 1.9425
P Sm U
2 1 1
direct
0.2558 0.2558 0.2327
0.0788 0.0788 0.7637
0.4958 0.4958 0.5126
0.6697 0.6697 0.9910


(12)
Sm2YUP4, relaxed, DFT PBE-GGA; space group = P2/m (10)
1.0
-0.5281 -1.0205 -3.8545
3.0606 -6.1532 1.2098
-6.8827 -0.5978 1.1012
U Y P Sm
1 1 4 2
direct
0.5000 0.5000 0.0000
0.0000 0.0000 0.0000
0.0000 0.7419 0.2380
0.0000 0.2581 0.7620
0.5000 0.7468 0.7609
0.5000 0.2532 0.2391
0.0000 0.5000 0.5000
0.5000 0.0000 0.5000


(13)
Sm2ZrUP4, relaxed, DFT PBE-GGA; space group = P2/m (10)
1.0
-3.2190 2.0763 -0.9663
1.1995 -1.2159 -6.6082
-3.9979 -5.0202 2.5310
P Sm U Zr
4 2 1 1
direct
0.0000 0.2514 0.7672
0.0000 0.7486 0.2328
0.5000 0.7592 0.7704
0.5000 0.2408 0.2296
0.5000 0.0000 0.5000
0.0000 0.5000 0.5000
0.5000 0.5000 0.0000
0.0000 0.0000 0.0000


(14)
SmZrU2P4, relaxed, DFT PBE-GGA; space group = P2/m (10)
1.0
-2.6155 2.5797 1.3148
-5.0190 -4.1687 -1.8050
1.8616 -1.3949 6.4401
U Sm P Zr
2 1 4 1
direct
0.0000 0.5000 0.5000
0.5000 0.0000 0.5000
0.5000 0.5000 0.0000
0.0000 0.2380 0.7462
0.5000 0.7610 0.7534
0.0000 0.7620 0.2538
0.5000 0.2390 0.2466
0.0000 0.0000 0.0000


(15)
SmY3P, relaxed, DFT PBE-GGA; space group = Pm-3m (221)
1.0
-0.1089 -5.1077 -1.7721
4.5746 0.8575 -2.7528
2.8813 -1.5546 4.3037
P Sm Y
1 1 3
direct
0.0000 0.0000 0.0000
0.5000 0.5000 0.5000
0.5000 0.0000 0.0000
0.0000 0.0000 0.5000
0.0000 0.5000 0.0000


(16)
SmYP2, relaxed, DFT PBE-GGA; excess energy over the best structure of this formula in the dataset = 0.000 eV per atom; space group = R-3m (166)
1.0
4.0633 0.0122 0.0146
2.0204 3.5254 0.0146
2.0061 1.1665 6.6350
P Sm Y
2 1 1
direct
0.2482 0.2482 0.2554
0.7518 0.7518 0.7446
0.0000 0.0000 0.0000
0.5000 0.5000 0.5000


(17)
Sm2YP3, relaxed, DFT PBE-GGA; space group = Immm (71)
1.0
1.1470 3.4834 -1.7898
1.3204 -2.9029 -4.8036
-6.9303 0.5272 1.2369
P Sm Y
3 2 1
direct
0.8362 0.3362 0.1724
0.1638 0.6638 0.8276
0.5000 0.0000 0.5000
0.1670 0.1670 0.8340
0.8330 0.8330 0.1660
0.5000 0.5000 0.5000


(18)
SmYP2, relaxed, DFT PBE-GGA; excess energy over the best structure of this formula in the dataset = 0.176 eV per atom; space group = R3m (160)
1.0
4.0235 0.0000 0.0000
2.0117 3.4844 0.0000
2.0117 1.1615 6.9078
P Y Sm
2 1 1
direct
0.2491 0.2491 0.2527
0.0839 0.0839 0.7484
0.4977 0.4977 0.5068
0.6693 0.6693 0.9921


(19)
Sm2YP, relaxed, DFT PBE-GGA; space group = R-3m (166)
1.0
-0.7102 -0.4804 -3.7777
-3.1703 -1.9074 -1.1476
-6.1784 7.3979 -1.7655
P Y Sm
1 1 2
direct
0.0000 0.0000 0.0000
0.5000 0.5000 0.5000
0.7256 0.7256 0.8231
0.2744 0.2744 0.1769


(20)
SmY5P6, relaxed, DFT PBE-GGA; space group = C2/m (12)
1.0
6.8998 0.1689 1.0486
1.6956 5.8529 3.4120
0.1164 0.0638 6.9799
Y P Sm
5 6 1
direct
0.5000 0.1661 0.6678
0.5000 0.5000 0.0000
0.0000 0.6669 0.6663
0.5000 0.8339 0.3322
0.0000 0.3331 0.3337
0.7480 0.0840 0.3362
0.2515 0.2525 0.0000
0.2520 0.5798 0.3362
0.7480 0.4202 0.6638
0.7485 0.7475 0.0000
0.2520 0.9160 0.6638
0.0000 0.0000 0.0000


(21)
Sm2Y3P4, relaxed, DFT PBE-GGA; space group = C2/m (12)
1.0
0.7356 3.7516 1.2282
-2.7741 0.6205 6.3301
6.8894 -1.0770 5.7275
P Y Sm
4 3 2
direct
0.7984 0.1032 0.3000
0.6007 0.6982 0.1003
0.2016 0.8968 0.7000
0.3993 0.3018 0.8997
0.2042 0.4009 0.1906
0.0000 0.0000 0.0000
0.7958 0.5991 0.8094
0.6016 0.1920 0.6049
0.3984 0.8080 0.3951


(22)
SmYP, relaxed, DFT PBE-GGA; space group = Pca2_1 (29)
1.0
-3.4793 -4.7872 -3.0877
5.6140 -1.3078 -4.2984
2.2879 -4.4667 4.3472
P Sm Y
4 4 4
direct
0.5364 0.9394 0.6921
0.0364 0.5606 0.6921
0.5364 0.4394 0.3079
0.0364 0.0606 0.3079
0.4261 0.6136 0.9281
0.9261 0.3864 0.0719
0.4261 0.1136 0.0719
0.9261 0.8864 0.9281
0.7665 0.7483 0.4146
0.2665 0.7517 0.4146
0.7665 0.2483 0.5854
0.2665 0.2517 0.5854


(23)
SmYP2, relaxed, DFT PBE-GGA; excess energy over the best structure of this formula in the dataset = 0.001 eV per atom; space group = I4_1/amd (141)
1.0
-4.4671 -2.1857 -2.8719
3.2073 -4.4996 -1.5643
-1.0253 0.5212 6.9399
Y P Sm
2 4 2
direct
0.2500 0.7500 0.5000
0.5000 0.5000 0.0000
0.7478 0.7478 0.4957
0.2522 0.2522 0.5043
0.0022 0.5022 0.0043
0.4978 0.9978 0.9957
0.0000 0.0000 0.0000
0.7500 0.2500 0.5000


(24)
Sm4YP5, relaxed, DFT PBE-GGA; space group = I4/m (87)
1.0
-3.0511 -4.6238 1.6685
3.7706 -5.9882 0.3314
-0.0635 -1.0497 7.0057
P Sm Y
5 4 1
direct
0.5012 0.0000 0.0000
0.2983 0.8019 0.6035
0.1002 0.6035 0.1981
0.7037 0.1981 0.3965
0.9018 0.3965 0.8019
0.4016 0.3992 0.7996
0.2012 0.2004 0.3992
0.6004 0.6008 0.2004
0.8008 0.7996 0.6008
0.0011 0.0000 0.0000


Number 1: Fermi-level density of states 0.141 states/eV/atom, calculated formation energy -1.606 eV per atom. Number 2: Fermi-level density of states 0.108 states/eV/atom, calculated formation energy -1.602 eV per atom. Number 3: Fermi-level density of states 1.110 states/eV/atom, calculated formation energy -1.367 eV per atom. Number 4: Fermi-level density of states 1.466 states/eV/atom, calculated formation energy -0.833 eV per atom. Number 5: Fermi-level density of states 1.029 states/eV/atom, calculated formation energy -1.361 eV per atom. Number 6: Fermi-level density of states 0.785 states/eV/atom, calculated formation energy -1.455 eV per atom. Number 7: Fermi-level density of states 1.514 states/eV/atom, calculated formation energy -0.836 eV per atom. Number 8: Fermi-level density of states 1.982 states/eV/atom, calculated formation energy -1.149 eV per atom. Number 9: Fermi-level density of states 0.906 states/eV/atom, calculated formation energy -1.419 eV per atom. Number 10: Fermi-level density of states 1.155 states/eV/atom, calculated formation energy -1.272 eV per atom. Number 11: Fermi-level density of states 1.512 states/eV/atom, calculated formation energy -1.100 eV per atom. Number 12: Fermi-level density of states 0.888 states/eV/atom, calculated formation energy -1.436 eV per atom. Number 13: Fermi-level density of states 0.938 states/eV/atom, calculated formation energy -1.366 eV per atom. Number 14: Fermi-level density of states 1.240 states/eV/atom, calculated formation energy -1.221 eV per atom. Number 15: Fermi-level density of states 1.741 states/eV/atom, calculated formation energy -0.438 eV per atom. Number 16: Fermi-level density of states 0.107 states/eV/atom, calculated formation energy -1.599 eV per atom. Number 17: Fermi-level density of states 0.130 states/eV/atom, calculated formation energy -1.588 eV per atom. Number 18: Fermi-level density of states 0.081 states/eV/atom, calculated formation energy -1.422 eV per atom. Number 19: Fermi-level density of states 1.391 states/eV/atom, calculated formation energy -0.650 eV per atom. Number 20: Fermi-level density of states 0.086 states/eV/atom, calculated formation energy -1.618 eV per atom. Number 21: Fermi-level density of states 0.498 states/eV/atom, calculated formation energy -1.432 eV per atom. Number 22: Fermi-level density of states 1.023 states/eV/atom, calculated formation energy -0.972 eV per atom. Number 23: Fermi-level density of states 0.111 states/eV/atom, calculated formation energy -1.597 eV per atom. Number 24: Fermi-level density of states 0.053 states/eV/atom, calculated formation energy -1.582 eV per atom.